This record from Alexandria via LeMat-Bulk describes NaNd2H6Rh2 after structural relaxation. The functional is PBE-GGA.

Unit cell a=6.769 b=6.769 c=6.769 alpha=43.25 beta=43.25 gamma=43.25
Sites, in units of the cell vectors:
Na  0.000  0.000  0.000
Nd  0.227  0.227  0.227
Nd  0.773  0.773  0.773
H  0.234  0.730  0.730
H  0.270  0.270  0.766
H  0.270  0.766  0.270
H  0.730  0.234  0.730
H  0.730  0.730  0.234
H  0.766  0.270  0.270
Rh  0.382  0.382  0.382
Rh  0.618  0.618  0.618

Energy ... -49.9 eV per formula unit
Spin magnetization ... 0.0 μB per cell
Calculated volume ... 132 Å³/cell
SG ... R-3m